Entry 1:
Density functional theory data (PBEsol) for a geometry-optimized KGaF4 structure.

```
KGaF4
1.0
12.095 0.000 0.000
0.000 7.496 0.000
0.000 0.000 7.691
K Ga F
8 8 32
Direct
0.015 0.250 0.125
0.027 0.250 0.625
0.473 0.750 0.125
0.485 0.750 0.625
0.515 0.250 0.375
0.527 0.250 0.875
0.973 0.750 0.375
0.985 0.750 0.875
0.248 0.501 0.375
0.248 0.999 0.375
0.252 0.001 0.875
0.252 0.499 0.875
0.748 0.501 0.125
0.748 0.999 0.125
0.752 0.001 0.625
0.752 0.499 0.625
0.099 0.045 0.366
0.099 0.455 0.366
0.103 0.047 0.884
0.103 0.453 0.884
0.211 0.750 0.415
0.216 0.750 0.835
0.246 0.045 0.625
0.246 0.455 0.625
0.254 0.545 0.125
0.254 0.955 0.125
0.284 0.250 0.335
0.289 0.250 0.915
0.397 0.547 0.384
0.397 0.953 0.384
0.401 0.545 0.866
0.401 0.955 0.866
0.599 0.045 0.134
0.599 0.455 0.134
0.603 0.047 0.616
0.603 0.453 0.616
0.711 0.750 0.085
0.716 0.750 0.665
0.746 0.045 0.875
0.746 0.455 0.875
0.754 0.545 0.375
0.754 0.955 0.375
0.784 0.250 0.165
0.789 0.250 0.585
0.897 0.547 0.116
0.897 0.953 0.116
0.901 0.545 0.634
0.901 0.955 0.634
```

## Properties
DOS at the Fermi energy ... 0.000 states/eV per cell
Formation energy from raw total energies ... -2787 meV per atom
Space-group type ... Pnma

Entry 2:
Density functional theory data (PBEsol) for a geometry-optimized K2RbGaF6 structure.

```
K2RbGaF6
1.0
0.000 4.469 4.469
4.469 0.000 4.469
4.469 4.469 0.000
K Rb Ga F
2 1 1 6
Direct
0.250 0.250 0.250
0.750 0.750 0.750
0.000 0.000 0.000
0.500 0.500 0.500
0.287 0.287 0.713
0.287 0.713 0.287
0.287 0.713 0.713
0.713 0.287 0.287
0.713 0.287 0.713
0.713 0.713 0.287
```

## Properties
DOS at the Fermi energy ... 0.000 states/eV per cell
Formation energy from raw total energies ... -2765 meV per atom
Space-group type ... Fm-3m

Entry 3:
Density functional theory data (PBEsol) for a geometry-optimized KTl2GaF6 structure.

```
KTl2GaF6
1.0
0.000 4.379 4.379
4.379 0.000 4.379
4.379 4.379 0.000
K Tl Ga F
1 2 1 6
Direct
0.000 0.000 0.000
0.250 0.250 0.250
0.750 0.750 0.750
0.500 0.500 0.500
0.283 0.283 0.717
0.283 0.717 0.283
0.283 0.717 0.717
0.717 0.283 0.283
0.717 0.283 0.717
0.717 0.717 0.283
```

## Properties
DOS at the Fermi energy ... 0.000 states/eV per cell
Formation energy from raw total energies ... -2361 meV per atom
Space-group type ... Fm-3m